A relaxed structure of Co3CuN5, computed with PBE-GGA.

## Properties
Crystal system: hexagonal
E: -6.922 eV/atom
Space group: P6/mmm

Cell: 5.084 5.084 3.722 Å, 90.00 90.00 120.00°
Element x y z (fractional)
Cu 0.000 0.000 0.000
Co 0.500 0.000 0.500
Co 0.000 0.500 0.500
Co 0.500 0.500 0.500
N 0.667 0.333 0.829
N 0.667 0.333 0.171
N 0.333 0.667 0.171
N 0.000 0.000 0.500
N 0.333 0.667 0.829

A relaxed structure of DyFeSi2Au, computed with PBE-GGA.

## Properties
Crystal system: tetragonal
E: -5.962 eV/atom
Space group: I-4m2

Cell: 5.802 5.802 5.802 Å, 138.74 138.74 59.77°
Last column: magnetic moment on the atom in μB.
Element x y z (fractional)
Fe 0.000 0.000 0.000  1.78
Si 0.867 0.367 0.500  -0.02
Si 0.633 0.133 0.500  -0.02
Au 0.500 0.500 0.000  0.02
Dy 0.250 0.750 0.500  0.00

A relaxed structure of HoSn3, computed with PBE-GGA.

## Properties
Crystal system: trigonal
E: -4.528 eV/atom
Space group: R-3m

Cell: 14.280 14.280 14.280 Å, 26.68 26.68 26.68°
Element x y z (fractional)
Sn 0.098 0.602 0.098
Sn 0.902 0.398 0.902
Sn 0.902 0.902 0.398
Sn 0.500 0.000 0.500
Sn 0.370 0.862 0.370
Sn 0.370 0.370 0.862
Sn 0.098 0.098 0.602
Sn 0.630 0.630 0.138
Sn 0.000 0.500 0.500
Sn 0.500 0.500 0.000
Sn 0.602 0.098 0.098
Sn 0.862 0.370 0.370
Sn 0.630 0.138 0.630
Sn 0.398 0.902 0.902
Sn 0.138 0.630 0.630
Ho 0.863 0.863 0.863
Ho 0.137 0.137 0.137
Ho 0.000 0.000 0.000
Ho 0.399 0.399 0.399
Ho 0.601 0.601 0.601

A relaxed structure of Ni2Ge3As2, computed with PBE-GGA.

## Properties
Crystal system: trigonal
E: -4.860 eV/atom
Space group: R3m

Cell: 8.282 8.282 8.282 Å, 28.79 28.79 28.79°
Element x y z (fractional)
As 0.065 0.065 0.065
As 0.471 0.471 0.471
Ni 0.245 0.245 0.245
Ni 0.773 0.773 0.773
Ge 0.875 0.875 0.875
Ge 0.604 0.604 0.604
Ge 0.343 0.343 0.343

A relaxed structure of ErBr2, computed with PBE-GGA.

## Properties
Crystal system: cubic
E: -2.597 eV/atom
Space group: Fd-3m

Cell: 6.226 6.226 6.226 Å, 60.00 60.00 60.00°
Last column: magnetic moment on the atom in μB.
Element x y z (fractional)
Er 0.250 0.250 0.250  0.53
Er 0.000 0.000 0.000  0.53
Br 0.125 0.625 0.625  0.02
Br 0.625 0.125 0.625  0.08
Br 0.625 0.625 0.625  0.12
Br 0.625 0.625 0.125  0.14